First-principles (PBE-GGA) data for BaSm4Se6 after structural relaxation, as listed in the Alexandria database.

DFT total energy, eV per atom: -5.70
Formation energy from raw total energies, eV per atom: -1.905
Total magnetization, μB per atom: 0.000

a b c (Å): 7.2324 7.2324 21.6671
angles (deg): 90.00 90.00 145.94
Last column: nearest neighbours and their distance in Å.
Fractional positions:
Ba: 0.1597 0.8403 0.7500  6 Se 3.22-3.33
Ba: 0.8403 0.1597 0.2500  6 Se 3.22-3.33
Sm: 0.0941 0.9059 0.1268  6 Se 2.84-3.04
Sm: 0.0941 0.9059 0.3732  6 Se 2.84-3.04
Sm: 0.3621 0.6379 0.0394  6 Se 2.91-3.03
Sm: 0.3621 0.6379 0.4606  6 Se 2.91-3.03
Sm: 0.6379 0.3621 0.5394  6 Se 2.91-3.03
Sm: 0.6379 0.3621 0.9606  6 Se 2.91-3.03
Sm: 0.9059 0.0941 0.6268  6 Se 2.84-3.04
Sm: 0.9059 0.0941 0.8732  6 Se 2.84-3.04
Se: 0.0000 0.0000 0.0000  6 Sm 2.98-3.04
Se: 0.0000 0.0000 0.5000  6 Sm 2.98-3.04
Se: 0.1652 0.8348 0.2500  2 Sm 2.84
Se: 0.2681 0.7319 0.5868  5 Sm 2.96-3.03
Se: 0.2681 0.7319 0.9132  5 Sm 2.96-3.03
Se: 0.4582 0.5418 0.1587  3 Sm 2.91-2.92
Se: 0.4582 0.5418 0.3413  3 Sm 2.91-2.92
Se: 0.5418 0.4582 0.6587  3 Sm 2.91-2.92
Se: 0.5418 0.4582 0.8413  3 Sm 2.91-2.92
Se: 0.7319 0.2681 0.0868  5 Sm 2.96-3.03
Se: 0.7319 0.2681 0.4132  5 Sm 2.96-3.03
Se: 0.8348 0.1652 0.7500  2 Sm 2.84


First-principles (PBE-GGA) data for CePaTlTc after structural relaxation, as listed in the Alexandria database.

DFT total energy, eV per atom: -7.19
DFT formation energy, kJ per mole of atoms: -14.8
Total magnetization, μB per atom: 0.000

a b c (Å): 3.2877 3.2877 8.8450
angles (deg): 90.00 90.00 90.00
Last column: nearest neighbours and their distance in Å.
Fractional positions:
Ce: 0.0000 0.0000 0.0000  4 Tc 3.02, 4 Ce 3.29
Pa: 0.0000 0.0000 0.5902  4 Tc 2.88
Tl: 0.5000 0.5000 0.2951  4 Tl 3.29, 4 Ce 3.50, 4 Pa 3.50
Tc: 0.5000 0.5000 0.7821  4 Pa 2.88, 4 Ce 3.02


First-principles (PBE-GGA) data for TmLuBeZn after structural relaxation, as listed in the Alexandria database.

DFT total energy, eV per atom: -3.63
DFT formation energy, kJ per mole of atoms: -13.1
Total magnetization, μB per atom: 0.000

a b c (Å): 4.8530 4.8530 4.8530
angles (deg): 60.00 60.00 60.00
Last column: nearest neighbours and their distance in Å.
Fractional positions:
Tm: 0.0000 0.0000 0.0000  4 Zn 2.97, 4 Be 2.97
Lu: 0.5000 0.5000 0.5000  4 Zn 2.97, 4 Be 2.97
Be: 0.2500 0.2500 0.2500  4 Tm 2.97, 4 Lu 2.97
Zn: 0.7500 0.7500 0.7500  4 Tm 2.97, 4 Lu 2.97


First-principles (PBE-GGA) data for NaAu3F after structural relaxation, as listed in the Alexandria database.

DFT total energy, eV per atom: -2.50
Formation energy from raw total energies, eV per atom: 0.107
Total magnetization, μB per atom: 0.000
E above lowest polymorph, eV/f.u.: 0.00

a b c (Å): 4.7448 4.7448 4.7448
angles (deg): 90.00 90.00 90.00
Last column: nearest neighbours and their distance in Å.
Fractional positions:
Na: 0.0000 0.0000 0.0000  12 Au 3.36
Au: 0.0000 0.5000 0.5000  2 F 2.37
Au: 0.5000 0.0000 0.5000  2 F 2.37
Au: 0.5000 0.5000 0.0000  2 F 2.37
F: 0.5000 0.5000 0.5000  6 Au 2.37


First-principles (PBE-GGA) data for FeMo2P after structural relaxation, as listed in the Alexandria database.

DFT total energy, eV per atom: -9.04
DFT formation energy, kJ per mole of atoms: -15.1
Total magnetization, μB per atom: 0.199

a b c (Å): 3.8558 4.9048 4.9048
angles (deg): 35.35 90.00 90.00
Last column: nearest neighbours and their distance in Å.
Fractional positions:
Fe: 0.0000 0.0000 0.0000  2 P 2.28, 1 Mo 2.53
Mo: 0.0000 0.2704 0.2704  3 Fe 2.53-2.61, 4 P 2.61
Mo: 0.5000 0.6014 0.6014  3 P 2.51-2.63, 4 Fe 2.61
P: 0.5000 0.8694 0.8694  2 Fe 2.28, 1 Mo 2.51


First-principles (PBE-GGA) data for HfP3F after structural relaxation, as listed in the Alexandria database.

DFT total energy, eV per atom: -5.49
Formation energy from raw total energies, eV per atom: 0.122
Total magnetization, μB per atom: 0.000
E above lowest polymorph, eV/f.u.: 0.00

a b c (Å): 4.2912 4.2912 4.2912
angles (deg): 90.00 90.00 90.00
Last column: nearest neighbours and their distance in Å.
Fractional positions:
Hf: 0.0000 0.0000 0.0000  12 P 3.03
P: 0.0000 0.5000 0.5000  2 F 2.15
P: 0.5000 0.0000 0.5000  2 F 2.15
P: 0.5000 0.5000 0.0000  2 F 2.15
F: 0.5000 0.5000 0.5000  6 P 2.15


Short version: density = 6.3; 11.7; 8.6; 9.8; 8.6; 6.1 g/cm³, in the order given.